VASP calculation (PBE) on a relaxed structure of TlCo.

a = 3.097 Å, b = 3.097 Å, c = 9.467 Å
α = 90.00°, β = 90.00°, γ = 120.00°
Atoms (fractional coordinates):
Co: 0.333 0.667 0.049
Tl: 0.333 0.667 0.322
Co: 0.667 0.333 0.549
Tl: 0.667 0.333 0.822

SG: P6_3mc
Total magnetic moment (μB per cell): 2.7
Calculated density (Mg/m³): 11.12
ΔH_f (0 K) (eV/atom): 0.925
N(E_F) (states/eV/cell): 8.17